PBE K6O2F, optimized geometry; spin magnetization = 0.000 μB per atom; E above lowest polymorph = 4.6 kJ per mole of atoms; N(E_F) = 1.42 states/eV/cell; V = 291.2 Å³/cell; formation energy from raw total energies = -1235 meV per atom
1.0
4.036 0.000 0.000
-2.018 7.300 1.146
0.000 -0.969 9.734
O F K
2 1 6
direct
0.221 0.442 0.315
0.779 0.558 0.685
0.000 0.000 0.500
0.654 0.308 0.496
0.215 0.429 0.817
0.346 0.692 0.504
0.061 0.122 0.249
0.785 0.571 0.183
0.939 0.878 0.751